1.
Below is a relaxed structure of La4SnTe2As, with properties calculated at the PBE-GGA level.

Lattice parameters (Å, degrees): 4.5470 7.9286 7.8725 70.66 90.00 90.00
Element x y z (fractional)
As 0.0000 0.5000 0.5000
La 0.5000 0.2706 0.7369
Te 0.0000 0.0000 0.0000
La 0.0000 0.2640 0.2519
Sn 0.5000 0.5000 0.0000
La 0.5000 0.7294 0.2631
La 0.0000 0.7360 0.7481
Te 0.5000 0.0000 0.5000

## Properties
- total magnetic moment (μB/f.u.) = 0.00
- space group = P2/m (10)
- energy relative to the elements, uncorrected (meV per atom) = -1423


2.
Below is a relaxed structure of Sr2LaAs, with properties calculated at the PBE-GGA level.

Lattice parameters (Å, degrees): 6.6698 6.6698 3.8236 79.10 79.10 119.16
Element x y z (fractional)
Sr 0.0000 0.0000 0.0000
La 0.0000 0.5000 0.5000
Sr 0.5000 0.5000 0.0000
As 0.5000 0.0000 0.5000

## Properties
- total magnetic moment (μB/f.u.) = 0.00
- space group = C2/m (12)
- formation enthalpy at 0 K (meV/atom) = -134.2


3.
Below is a relaxed structure of SrLaAs2, with properties calculated at the PBE-GGA level.

Lattice parameters (Å, degrees): 4.4372 4.4372 7.6842 73.25 73.25 59.99
Element x y z (fractional)
La 0.7500 0.7500 0.7500
As 0.0053 0.0053 0.9838
As 0.4947 0.4947 0.5162
Sr 0.2500 0.2500 0.2500

## Properties
- total magnetic moment (μB/f.u.) = 0.00
- space group = R-3m (166)
- formation enthalpy at 0 K (meV/atom) = -1197.1
- excess energy over the best structure of this formula in the dataset (meV/atom) = 0.0


4.
Below is a relaxed structure of SrLa5As6, with properties calculated at the PBE-GGA level.

Lattice parameters (Å, degrees): 7.6123 7.6123 7.6088 99.60 99.60 120.02
Element x y z (fractional)
La 0.1651 0.8349 0.5000
La 0.5000 0.5000 0.5000
As 0.5730 0.9152 0.7460
As 0.0848 0.4270 0.2540
As 0.7428 0.7428 0.2544
La 0.8349 0.1651 0.5000
La 0.3330 0.6670 0.0000
Sr 0.0000 0.0000 0.0000
La 0.6670 0.3330 0.0000
As 0.2572 0.2572 0.7456
As 0.4270 0.0848 0.2540
As 0.9152 0.5730 0.7460

## Properties
- total magnetic moment (μB/f.u.) = 0.00
- space group = C2/m (12)
- formation enthalpy at 0 K (meV/atom) = -1455.0